# 1
# Y6SbSe4

Y6SbSe4 after structural relaxation (PBE-GGA, Alexandria via LeMat-Bulk).

Spin magnetization ... 0.000 μB per atom
D(E_F) ... 0.8474 states/eV per atom
Theoretical density ... 5.7 g/cm³
Uncorrected formation energy ... -16.625 eV/f.u.

a = 4.0863 Å, b = 13.3031 Å, c = 20.7848 Å
α = 90.00°, β = 90.00°, γ = 90.00°
With the nearest neighbours (Å) after each atom.
Space group Cmcm (No. 63)
One atom of each set of equivalent atoms:
1 Y 0.0000 0.0000 0.0000 x4  6 Se 2.81-2.90
2 Y 0.0000 0.1560 0.2500 x4  2 Se 2.79, 2 Sb 3.06
3 Y 0.0000 0.2691 0.5972 x8  5 Se 2.87-3.02
4 Y 0.0000 0.4473 0.1639 x8  3 Se 2.87-2.91, 2 Sb 3.15
5 Sb 0.0000 0.1726 0.7500 x4  8 Y 3.06-3.42
6 Se 0.0000 0.0854 0.1237 x8  6 Y 2.79-2.87
7 Se 0.0000 0.3567 0.0366 x8  6 Y 2.90-3.02



# 2
# YSbSe3

YSbSe3 after structural relaxation (PBE-GGA, Alexandria via LeMat-Bulk).

Spin magnetization ... 0.000 μB per atom
D(E_F) ... 1.0549 states/eV per atom
Theoretical density ... 4.7 g/cm³
Uncorrected formation energy ... -1.280 eV/f.u.

a = 5.4112 Å, b = 5.4112 Å, c = 5.4112 Å
α = 90.00°, β = 90.00°, γ = 90.00°
With the nearest neighbours (Å) after each atom.
Space group Pm-3m (No. 221)
One atom of each set of equivalent atoms:
1 Y 0.0000 0.0000 0.0000 x1  6 Se 2.71
2 Sb 0.5000 0.5000 0.5000 x1  12 Se 3.83
3 Se 0.0000 0.0000 0.5000 x3  2 Y 2.71



# 3
# Y2SbSe

Y2SbSe after structural relaxation (PBE-GGA, Alexandria via LeMat-Bulk).

Spin magnetization ... 0.000 μB per atom
D(E_F) ... 0.7360 states/eV per atom
Theoretical density ... 4.3 g/cm³
Uncorrected formation energy ... -4.038 eV/f.u.

a = 6.6277 Å, b = 6.6277 Å, c = 13.4541 Å
α = 90.00°, β = 90.00°, γ = 90.00°
With the nearest neighbours (Å) after each atom.
Space group I-42d (No. 122)
One atom of each set of equivalent atoms:
1 Y 0.2296 0.2500 0.1250 x8  2 Se 2.81, 2 Sb 2.96
2 Sb 0.0000 0.0000 0.5000 x4  4 Y 2.96
3 Se 0.0000 0.0000 0.0000 x4  4 Y 2.81